## LaUVN3 (PBE)

Data for a relaxed structure of LaUVN3. Values from VASP.

Summary:
* uncorrected formation energy: -1.118 eV per atom
* calculated total energy: -9.5030 eV/atom
* V: 15.756 Å³ per atom

```
&SYSTEM
  ibrav = 0, nat = 12, ntyp = 4
/
ATOMIC_SPECIES
N 14.01 N.upf
La 138.91 La.upf
U 238.03 U.upf
V 50.94 V.upf
ATOMIC_POSITIONS angstrom
N 2.580 0.211 3.737
N 2.580 6.105 1.626
N 0.860 4.951 4.206
N 2.580 2.903 1.189
N 0.860 -0.944 6.317
N 0.860 2.259 6.754
La 0.860 0.845 1.503
La 2.580 4.317 6.440
U 0.860 4.435 1.655
U 2.580 0.727 6.289
V 2.580 5.754 3.551
V 0.860 -0.592 4.392
CELL_PARAMETERS angstrom
3.440 0.000 0.000
0.000 7.337 0.644
0.000 -2.176 7.299
```

---

## La4YU3N8 (PBE)

Data for a relaxed structure of La4YU3N8. Values from VASP.

Summary:
* uncorrected formation energy: -1.434 eV per atom
* calculated total energy: -9.3490 eV/atom
* V: 16.088 Å³ per atom

```
&SYSTEM
  ibrav = 0, nat = 16, ntyp = 4
/
ATOMIC_SPECIES
La 138.91 La.upf
N 14.01 N.upf
Y 88.91 Y.upf
U 238.03 U.upf
ATOMIC_POSITIONS angstrom
La -1.739 2.670 -1.536
La 0.000 0.000 0.000
La -0.318 -0.549 3.480
La -2.057 2.122 1.944
N -2.193 -0.561 1.508
N -3.879 2.089 -0.124
N -4.968 0.172 -2.224
N -3.583 -2.996 2.698
N -3.578 2.607 -3.414
N -1.934 0.084 -1.962
N -5.227 -0.472 1.246
N -3.281 -2.478 -0.592
Y -1.523 -2.316 -2.302
U -3.580 -0.194 -0.358
U -3.262 0.354 -3.838
U -1.841 -2.865 1.178
CELL_PARAMETERS angstrom
-3.478 5.341 -3.073
-3.046 -4.632 -4.604
-0.637 -1.097 6.961
```

---

## La2ZrUN4 (PBE)

Data for a relaxed structure of La2ZrUN4. Values from VASP.

Summary:
* uncorrected formation energy: -1.490 eV per atom
* calculated total energy: -9.3643 eV/atom
* V: 15.352 Å³ per atom

```
&SYSTEM
  ibrav = 0, nat = 8, ntyp = 4
/
ATOMIC_SPECIES
N 14.01 N.upf
Zr 91.22 Zr.upf
La 138.91 La.upf
U 238.03 U.upf
ATOMIC_POSITIONS angstrom
N 1.019 -1.093 3.843
N -2.942 -1.332 4.862
N -3.622 1.270 2.791
N -1.139 -1.615 1.275
Zr 0.000 0.000 0.000
La -3.481 -0.414 0.693
La -1.302 0.088 3.317
U 0.701 -2.621 2.128
CELL_PARAMETERS angstrom
-1.478 -3.124 -0.496
2.881 -2.118 4.752
-5.484 2.295 1.883
```